1.
{
  "formula": "BaSrSc2",
  "functional": "PBEsol",
  "state": "optimized geometry",
  "cell": [[0.0000, 4.0977, 4.0977], [4.0977, 0.0000, 4.0977], [4.0977, 4.0977, 0.0000]],
  "species": ["Ba", "Sr", "Sc", "Sc"],
  "frac_coords": [[0.0000, 0.0000, 0.0000], [0.7500, 0.7500, 0.7500], [0.2500, 0.2500, 0.2500], [0.5000, 0.5000, 0.5000]],
  "final_energy_ev_per_cell": -15.6,
  "spacegroup": "F-43m (216)"
}


2.
{
  "formula": "BaSrSc2",
  "functional": "PBEsol",
  "state": "optimized geometry",
  "cell": [[1.7586, 1.0153, 12.5449], [-1.7586, 1.0153, 12.5449], [0.0000, -2.0306, 12.5449]],
  "species": ["Ba", "Sr", "Sc", "Sc"],
  "frac_coords": [[0.0000, 0.0000, 0.0000], [0.5000, 0.5000, 0.5000], [0.4133, 0.4133, 0.4133], [0.5867, 0.5867, 0.5867]],
  "final_energy_ev_per_cell": -15.0,
  "spacegroup": "R-3m (166)"
}


| no. | formation energy from the elements (eV per formula unit) | polymorph energy (0 for the lowest one) (eV per atom) |
| --- | --- | --- |
| 1 | 1.6 | 0.0594 |
| 2 | 2.2 | 0.2066 |